[1]
The following is a GGA-PBEsol calculation of an optimized crystal structure of YCu2Pt2, from Alexandria.

Summary:
SG	I4/mmm (139)
energy relative to the elements	-0.54	eV/atom

a b c (Å): 3.732 3.732 6.588
angles (deg): 106.45 106.45 90.00
Fractional coordinates of all 5 atoms:
Cu 0.750 0.250 0.500
Cu 0.250 0.750 0.500
Pt 0.392 0.392 0.783
Pt 0.608 0.608 0.217
Y 0.000 0.000 0.000


[2]
The following is a GGA-PBEsol calculation of an optimized crystal structure of NdSiPt, from Alexandria.

Summary:
SG	I4_1md (109)
raw formation energy	-1.14	eV/atom

a b c (Å): 4.173 4.173 7.737
angles (deg): 105.65 105.65 90.00
Fractional coordinates of all 6 atoms:
Pt 0.913 0.413 0.827
Pt 0.663 0.663 0.327
Si 0.082 0.582 0.163
Si 0.832 0.832 0.663
Nd 0.251 0.251 0.502
Nd 0.501 0.001 0.002


[3]
The following is a GGA-PBEsol calculation of an optimized crystal structure of Ca2HgSb, from Alexandria.

Summary:
SG	Fm-3m (225)
raw formation energy	-0.78	eV/atom

a b c (Å): 5.327 5.327 5.329
angles (deg): 60.01 60.01 60.00
Fractional coordinates of all 4 atoms:
Hg 0.500 0.500 0.500
Ca 0.750 0.750 0.750
Ca 0.250 0.250 0.250
Sb 0.000 0.000 0.000


[4]
The following is a GGA-PBEsol calculation of an optimized crystal structure of Mg2TaP, from Alexandria.

Summary:
SG	Imm2 (44)
energy relative to the elements	0.00	eV/atom

a b c (Å): 3.336 4.592 5.396
angles (deg): 115.18 108.01 90.00
Fractional coordinates of all 4 atoms:
P 0.515 0.515 0.030
Mg 0.782 0.282 0.565
Mg 0.993 0.993 0.985
Ta 0.210 0.710 0.421


[5]
The following is a GGA-PBEsol calculation of an optimized crystal structure of Sc2ZnCo, from Alexandria.

Summary:
SG	R-3m (166)
energy relative to the elements	-0.08	eV/atom

a b c (Å): 3.213 3.213 8.049
angles (deg): 78.49 78.49 60.00
Fractional coordinates of all 4 atoms:
Co 0.000 0.000 0.000
Zn 0.500 0.500 0.500
Sc 0.261 0.261 0.217
Sc 0.739 0.739 0.783


[6]
The following is a GGA-PBEsol calculation of an optimized crystal structure of LuInPd, from Alexandria.

Summary:
SG	P-62m (189)
energy relative to the elements	-0.84	eV/atom

a b c (Å): 3.761 7.471 7.471
angles (deg): 120.00 90.00 90.00
Fractional coordinates of all 9 atoms:
Pd 0.000 0.333 0.667
Pd 0.000 0.667 0.333
Pd 0.500 0.000 0.000
In 0.000 0.000 0.739
In 0.000 0.739 0.000
In 0.000 0.261 0.261
Lu 0.500 0.000 0.407
Lu 0.500 0.407 0.000
Lu 0.500 0.593 0.593


[7]
The following is a GGA-PBEsol calculation of an optimized crystal structure of TmGaPd2, from Alexandria.

Summary:
SG	Fm-3m (225)
energy relative to the elements	-0.86	eV/atom

a b c (Å): 4.564 4.564 4.564
angles (deg): 60.00 60.00 60.00
Fractional coordinates of all 4 atoms:
Pd 0.250 0.250 0.250
Pd 0.750 0.750 0.750
Ga 0.000 0.000 0.000
Tm 0.500 0.500 0.500


[8]
The following is a GGA-PBEsol calculation of an optimized crystal structure of MoH12C2S4N2, from Alexandria.

Summary:
SG	Pnma (62)
DFT total energy	-448.11	eV for the cell shown

a b c (Å): 6.870 9.322 15.872
angles (deg): 90.00 90.00 90.00
Fractional coordinates of all 84 atoms:
N 0.750 0.824 0.088
N 0.750 0.063 0.625
N 0.750 0.324 0.412
N 0.250 0.676 0.588
N 0.250 0.437 0.125
N 0.250 0.937 0.375
N 0.750 0.563 0.875
N 0.250 0.176 0.912
Mo 0.750 0.748 0.452
Mo 0.250 0.252 0.548
Mo 0.250 0.752 0.952
Mo 0.750 0.248 0.048
H 0.372 0.878 0.393
H 0.750 0.957 0.195
H 0.381 0.710 0.707
H 0.250 0.036 0.407
H 0.750 0.215 0.427
H 0.250 0.356 0.250
H 0.119 0.210 0.793
H 0.250 0.043 0.805
H 0.627 0.370 0.439
H 0.750 0.964 0.593
H 0.619 0.790 0.207
H 0.627 0.870 0.061
H 0.750 0.144 0.750
H 0.250 0.536 0.093
H 0.250 0.785 0.573
H 0.381 0.210 0.793
H 0.628 0.622 0.893
H 0.128 0.878 0.393
H 0.750 0.715 0.073
H 0.127 0.630 0.561
H 0.628 0.122 0.607
H 0.880 0.479 0.765
H 0.880 0.979 0.735
H 0.620 0.979 0.735
H 0.127 0.130 0.939
H 0.119 0.710 0.707
H 0.873 0.870 0.061
H 0.372 0.378 0.107
H 0.873 0.370 0.439
H 0.380 0.521 0.235
H 0.128 0.378 0.107
H 0.250 0.856 0.250
H 0.872 0.122 0.607
H 0.872 0.622 0.893
H 0.750 0.644 0.750
H 0.120 0.521 0.235
H 0.750 0.457 0.305
H 0.120 0.021 0.265
H 0.750 0.464 0.907
H 0.373 0.630 0.561
H 0.250 0.543 0.695
H 0.380 0.021 0.265
H 0.619 0.290 0.293
H 0.881 0.290 0.293
H 0.881 0.790 0.207
H 0.250 0.285 0.927
H 0.620 0.479 0.765
H 0.373 0.130 0.939
S 0.493 0.139 0.097
S 0.250 0.770 0.089
S 0.750 0.730 0.589
S 0.993 0.861 0.903
S 0.993 0.361 0.597
S 0.493 0.639 0.403
S 0.507 0.861 0.903
S 0.750 0.473 0.087
S 0.007 0.639 0.403
S 0.507 0.361 0.597
S 0.007 0.139 0.097
S 0.750 0.230 0.911
S 0.750 0.973 0.413
S 0.250 0.027 0.587
S 0.250 0.270 0.411
S 0.250 0.527 0.913
C 0.750 0.342 0.319
C 0.250 0.960 0.283
C 0.750 0.842 0.181
C 0.250 0.158 0.819
C 0.250 0.460 0.217
C 0.750 0.540 0.783
C 0.750 0.040 0.717
C 0.250 0.658 0.681


[9]
The following is a GGA-PBEsol calculation of an optimized crystal structure of Zn2Co3, from Alexandria.

Summary:
SG	R-3m (166)
energy relative to the elements	0.03	eV/atom

a b c (Å): 2.535 2.535 10.326
angles (deg): 82.95 82.95 60.00
Fractional coordinates of all 5 atoms:
Zn 0.401 0.401 0.798
Zn 0.599 0.599 0.202
Co 0.803 0.803 0.591
Co 0.197 0.197 0.409
Co 0.000 0.000 0.000


[10]
The following is a GGA-PBEsol calculation of an optimized crystal structure of LiMnPO4, from Alexandria.

Summary:
SG	P6_3 (173)
raw formation energy	-2.04	eV/atom

a b c (Å): 5.155 5.155 9.536
angles (deg): 90.00 90.00 120.00
Fractional coordinates of all 14 atoms:
O 0.946 0.326 0.296
O 0.380 0.054 0.296
O 0.674 0.620 0.296
O 0.667 0.333 0.080
O 0.333 0.667 0.580
O 0.054 0.674 0.796
O 0.620 0.946 0.796
O 0.326 0.380 0.796
P 0.667 0.333 0.240
P 0.333 0.667 0.740
Mn 0.333 0.667 0.377
Mn 0.667 0.333 0.877
Li 0.000 0.000 0.263
Li 0.000 0.000 0.763


[11]
The following is a GGA-PBEsol calculation of an optimized crystal structure of CaMnCo2, from Alexandria.

Summary:
SG	P4/mmm (123)
energy relative to the elements	0.54	eV/atom

a b c (Å): 2.911 4.328 4.328
angles (deg): 90.00 90.00 90.00
Fractional coordinates of all 4 atoms:
Mn 0.500 0.500 0.500
Co 0.000 0.500 0.000
Co 0.000 0.000 0.500
Ca 0.500 0.000 0.000


[12]
The following is a GGA-PBEsol calculation of an optimized crystal structure of BaCoOs2, from Alexandria.

Summary:
SG	Fm-3m (225)
energy relative to the elements	1.69	eV/atom

a b c (Å): 4.617 4.617 4.617
angles (deg): 60.00 60.00 60.00
Fractional coordinates of all 4 atoms:
Ba 0.000 0.000 0.000
Os 0.250 0.250 0.250
Os 0.750 0.750 0.750
Co 0.500 0.500 0.500